(1)
## KBaPb6 (PBE-GGA)

Data for an optimized crystal structure of KBaPb6.

Geometry as POSCAR:
```
KBaPb6
1.0
5.938 0.000 0.000
0.000 3.754 6.258
0.000 -3.754 6.258
K Ba Pb
1 1 6
direct
0.000 0.000 0.000
0.500 0.316 0.316
0.000 0.506 0.506
0.000 0.526 0.946
0.000 0.946 0.526
0.500 0.366 0.792
0.500 0.792 0.366
0.500 0.810 0.810
```

Results
E in eV per cell: -26.95
Symmetry: No. 38
Calculated formation energy in eV per atom: -0.210

(2)
## KBa3Pb (PBE-GGA)

Data for an optimized crystal structure of KBa3Pb.

Geometry as POSCAR:
```
KBa3Pb
1.0
6.612 0.000 0.000
0.000 6.612 0.000
0.000 0.000 6.612
K Ba Pb
1 3 1
direct
0.000 0.000 0.000
0.000 0.000 0.500
0.000 0.500 0.000
0.500 0.000 0.000
0.500 0.500 0.500
```

Results
E in eV per cell: -7.56
Symmetry: No. 221
Calculated formation energy in eV per atom: 0.602
Energy relative to the lowest polymorph listed for this composition in kJ/mol of formula units: 365

(3)
## KBaPb (PBE-GGA)

Data for an optimized crystal structure of KBaPb.

Geometry as POSCAR:
```
KBaPb
1.0
-2.040 2.712 5.662
2.040 -2.712 5.662
2.040 2.712 -5.662
K Ba Pb
1 1 1
direct
0.000 0.000 0.000
0.307 0.307 0.000
0.662 0.662 0.000
```

Results
E in eV per cell: -7.38
Symmetry: No. 44
Calculated formation energy in eV per atom: -0.218
Energy relative to the lowest polymorph listed for this composition in kJ/mol of formula units: 0

(4)
## K2BaPb (PBE-GGA)

Data for an optimized crystal structure of K2BaPb.

Geometry as POSCAR:
```
K2BaPb
1.0
-3.124 3.130 4.411
3.124 -3.130 4.411
3.124 3.130 -4.411
K Ba Pb
2 1 1
direct
0.000 0.000 0.000
0.750 0.250 0.500
0.250 0.750 0.500
0.500 0.500 0.000
```

Results
E in eV per cell: -8.60
Symmetry: No. 44
Calculated formation energy in eV per atom: -0.193

(5)
## KBaPb (PBE-GGA)

Data for an optimized crystal structure of KBaPb.

Geometry as POSCAR:
```
KBaPb
1.0
-2.062 2.062 8.538
2.062 -2.062 8.538
2.062 2.062 -8.538
K Ba Pb
1 1 1
direct
0.000 0.000 0.000
0.264 0.264 0.000
0.635 0.635 0.000
```

Results
E in eV per cell: -7.36
Symmetry: No. 107
Calculated formation energy in eV per atom: -0.209
Energy relative to the lowest polymorph listed for this composition in kJ/mol of formula units: 3

(6)
## K2BaPb6 (PBE-GGA)

Data for an optimized crystal structure of K2BaPb6.

Geometry as POSCAR:
```
K2BaPb6
1.0
9.837 0.000 0.000
-4.918 8.519 0.000
0.000 0.000 3.810
K Ba Pb
2 1 6
direct
0.333 0.667 0.000
0.667 0.333 0.000
0.000 0.000 0.000
0.000 0.333 0.500
0.000 0.667 0.500
0.333 0.000 0.500
0.333 0.333 0.500
0.667 0.000 0.500
0.667 0.667 0.500
```

Results
E in eV per cell: -28.17
Symmetry: No. 191
Calculated formation energy in eV per atom: -0.200

(7)
## KBaPb4 (PBE-GGA)

Data for an optimized crystal structure of KBaPb4.

Geometry as POSCAR:
```
KBaPb4
1.0
0.000 4.779 4.779
4.779 0.000 4.779
4.779 4.779 0.000
K Ba Pb
1 1 4
direct
0.000 0.000 0.000
0.250 0.250 0.250
0.134 0.622 0.622
0.622 0.134 0.622
0.622 0.622 0.134
0.622 0.622 0.622
```

Results
E in eV per cell: -19.71
Symmetry: No. 216
Calculated formation energy in eV per atom: -0.310

(8)
## K2BaPb (PBE-GGA)

Data for an optimized crystal structure of K2BaPb.

Geometry as POSCAR:
```
K2BaPb
1.0
4.173 0.000 0.000
0.000 6.113 0.000
0.000 0.000 7.626
K Ba Pb
2 1 1
direct
0.000 0.000 0.214
0.000 0.000 0.786
0.500 0.500 0.500
0.500 0.500 0.000
```

Results
E in eV per cell: -7.72
Symmetry: No. 47
Calculated formation energy in eV per atom: 0.027

Please write out number 7 again, unchanged.
## KBaPb4 (PBE-GGA)

Data for an optimized crystal structure of KBaPb4.

Geometry as POSCAR:
```
KBaPb4
1.0
0.000 4.779 4.779
4.779 0.000 4.779
4.779 4.779 0.000
K Ba Pb
1 1 4
direct
0.000 0.000 0.000
0.250 0.250 0.250
0.134 0.622 0.622
0.622 0.134 0.622
0.622 0.622 0.134
0.622 0.622 0.622
```

Results
E in eV per cell: -19.71
Symmetry: No. 216
Calculated formation energy in eV per atom: -0.310